[1]
This record from the Alexandria database describes a relaxed LiTlFe2 crystal. The functional is PBE.

Properties
space-group type: I-42d
calculated volume: 129 Å³/cell
magnetic moment: 1.29 μB/atom
total energy: -19.0 eV per formula unit
calculated formation energy: 0.545 eV per atom

a b c (Å): 3.6538 3.6538 10.0134
angles (deg): 79.49 79.49 90.00
Positions (direct):
Fe1 0.3750 0.3742 0.7500
Li1 0.5000 0.5000 0.0000
Tl1 0.7500 0.2500 0.5000
Fe2 0.1242 0.6250 0.2500
Fe3 0.8750 0.8758 0.7500
Fe4 0.6258 0.1250 0.2500
Tl2 0.0000 0.0000 0.0000
Li2 0.2500 0.7500 0.5000


[2]
This record from the Alexandria database describes a relaxed Rb2TiReI6 crystal. The functional is PBE.

Properties
space-group type: I4/mmm
calculated volume: 371 Å³/cell
magnetic moment: 0.34 μB/atom
E_form (uncorrected): -0.3925 eV/atom
total energy: -35.5 eV per formula unit

a b c (Å): 8.0779 8.0779 8.0561
angles (deg): 59.91 59.91 90.00
Positions (direct):
I1 0.2438 0.2438 0.0000
I2 0.7562 0.2438 0.0000
Re1 0.0000 0.0000 0.0000
I3 0.7543 0.7543 0.4914
I4 0.2457 0.2457 0.5086
Rb1 0.7500 0.2500 0.5000
Rb2 0.2500 0.7500 0.5000
I5 0.7562 0.7562 0.0000
I6 0.2438 0.7562 0.0000
Ti1 0.5000 0.5000 0.0000


[3]
This record from the Alexandria database describes a relaxed TiNi7Sn2P2 crystal. The functional is PBE.

Properties
space-group type: C2/m
calculated volume: 181 Å³/cell
magnetic moment: 0.00 μB/atom
total energy: -71.3 eV per formula unit
calculated formation energy: -0.345 eV per atom

a b c (Å): 3.5768 3.5768 14.3391
angles (deg): 82.76 82.76 90.04
Positions (direct):
Ni1 0.6895 0.6895 0.6209
Ti1 0.0000 0.0000 0.0000
Sn1 0.2110 0.2110 0.5782
Ni2 0.5000 0.5000 0.0000
Sn2 0.7890 0.7890 0.4218
Ni3 0.9326 0.4325 0.1314
Ni4 0.0674 0.5675 0.8686
Ni5 0.5675 0.0674 0.8686
Ni6 0.3105 0.3105 0.3791
P1 0.3848 0.3848 0.2260
P2 0.6152 0.6152 0.7740
Ni7 0.4325 0.9326 0.1314


[4]
This record from the Alexandria database describes a relaxed K8Na2Pb crystal. The functional is PBE.

Properties
space-group type: C2/m
calculated volume: 681 Å³/cell
magnetic moment: 0.00 μB/atom
total energy: -15.0 eV per formula unit
calculated formation energy: 0.012 eV per atom
relative energy among the computed polymorphs: 27.5 meV per atom

a b c (Å): 7.8259 9.7752 9.7752
angles (deg): 66.17 94.37 94.37
Positions (direct):
Pb1 0.0000 0.0000 0.0000
Na1 0.9980 0.7982 0.7982
K1 0.3504 0.6340 0.6340
K2 0.8319 0.8102 0.3795
K3 0.1681 0.1898 0.6205
K4 0.4204 0.1164 0.1164
K5 0.6496 0.3660 0.3660
K6 0.1681 0.6205 0.1898
Na2 0.0020 0.2018 0.2018
K7 0.5796 0.8836 0.8836
K8 0.8319 0.3795 0.8102


[5]
This record from the Alexandria database describes a relaxed Rb2VSiTe crystal. The functional is PBE.

Properties
space-group type: P4/mmm
calculated volume: 246 Å³/cell
magnetic moment: 1.38 μB/atom
E_form (uncorrected): 0.6722 eV/atom
total energy: -16.3 eV per formula unit

a b c (Å): 6.9499 5.0993 6.9499
angles (deg): 90.00 90.00 90.00
Positions (direct):
Rb1 0.5000 0.0000 0.0000
Si1 0.5000 0.5000 0.5000
Rb2 0.0000 0.0000 0.5000
Te1 0.0000 0.5000 0.0000
V1 0.0000 0.0000 0.0000


[6]
This record from the Alexandria database describes a relaxed NbSn2Pd crystal. The functional is PBE.

Properties
space-group type: P4/mmm
calculated volume: 78 Å³/cell
magnetic moment: 0.00 μB/atom
total energy: -23.7 eV per formula unit
calculated formation energy: -0.098 eV per atom
relative energy among the computed polymorphs: 111.9 meV per atom

a b c (Å): 3.4392 3.4392 6.5594
angles (deg): 90.00 90.00 90.00
Positions (direct):
Sn1 0.0000 0.0000 0.7512
Sn2 0.0000 0.0000 0.2488
Nb1 0.5000 0.5000 0.5000
Pd1 0.5000 0.5000 0.0000


[7]
This record from the Alexandria database describes a relaxed ThGaIr crystal. The functional is PBE.

Properties
space-group type: P-62m
calculated volume: 187 Å³/cell
magnetic moment: 0.00 μB/atom
total energy: -22.1 eV per formula unit
calculated formation energy: -0.920 eV per atom

a b c (Å): 7.2440 7.2440 4.1212
angles (deg): 90.00 90.00 120.00
Positions (direct):
Ga1 0.7645 0.7645 0.0000
Th1 0.0000 0.5856 0.5000
Ir1 0.6667 0.3333 0.0000
Ir2 0.0000 0.0000 0.5000
Ga2 0.2355 0.0000 0.0000
Ga3 0.0000 0.2355 0.0000
Th2 0.5856 0.0000 0.5000
Th3 0.4144 0.4144 0.5000
Ir3 0.3333 0.6667 0.0000


[8]
This record from the Alexandria database describes a relaxed TmThZn17 crystal. The functional is PBE.

Properties
space-group type: R3m
calculated volume: 309 Å³/cell
magnetic moment: 0.00 μB/atom
total energy: -37.5 eV per formula unit
calculated formation energy: -0.209 eV per atom

a b c (Å): 6.8083 6.8083 6.8083
angles (deg): 82.82 82.82 82.82
Positions (direct):
Zn1 0.7032 0.0025 0.2941
Zn2 0.8418 0.3508 0.3508
Zn3 0.7032 0.2941 0.0025
Zn4 0.0025 0.7032 0.2941
Zn5 0.9980 0.5012 0.9980
Zn6 0.2941 0.0025 0.7032
Zn7 0.3508 0.8418 0.3508
Zn8 0.1642 0.6464 0.6464
Tm1 0.3357 0.3357 0.3357
Zn9 0.9980 0.9980 0.5012
Zn10 0.2941 0.7032 0.0025
Zn11 0.3508 0.3508 0.8418
Zn12 0.5012 0.9980 0.9980
Zn13 0.6464 0.6464 0.1642
Th1 0.6635 0.6635 0.6635
Zn14 0.0025 0.2941 0.7032
Zn15 0.6464 0.1642 0.6464
Zn16 0.9025 0.9025 0.9025
Zn17 0.1012 0.1012 0.1012


[9]
This record from the Alexandria database describes a relaxed LiAgMo2 crystal. The functional is PBE.

Properties
space-group type: Imm2
calculated volume: 65 Å³/cell
magnetic moment: 0.00 μB/atom
total energy: -24.5 eV per formula unit
calculated formation energy: 0.474 eV per atom
relative energy among the computed polymorphs: 275.8 meV per atom

a b c (Å): 5.1108 5.1108 5.1108
angles (deg): 143.00 124.43 68.66
Positions (direct):
Mo1 0.2273 0.7273 0.5000
Li1 0.7482 0.2482 0.5000
Ag1 0.5076 0.5076 0.0000
Mo2 0.0170 0.0170 0.0000


[10]
This record from the Alexandria database describes a relaxed Pm3Al9Pt2 crystal. The functional is PBE.

Properties
space-group type: Immm
calculated volume: 274 Å³/cell
magnetic moment: 0.00 μB/atom
total energy: -70.0 eV per formula unit
calculated formation energy: -0.710 eV per atom

a b c (Å): 4.3145 8.3453 8.3453
angles (deg): 75.03 75.02 75.02
Positions (direct):
Al1 0.8764 0.8430 0.4042
Al2 0.3369 0.0312 0.2949
Pt1 0.5000 0.7182 0.2818
Al3 0.3369 0.2949 0.0312
Pt2 0.5000 0.2818 0.7182
Al4 0.6631 0.7051 0.9688
Pm1 0.6854 0.3146 0.3146
Al5 0.1236 0.1570 0.5958
Pm2 0.0000 0.0000 0.0000
Al6 0.1236 0.5958 0.1570
Pm3 0.3146 0.6854 0.6854
Al7 0.0000 0.5000 0.5000
Al8 0.8764 0.4042 0.8430
Al9 0.6631 0.9688 0.7051


[11]
This record from the Alexandria database describes a relaxed CaCu2AsH crystal. The functional is PBE.

Properties
space-group type: Cmcm
calculated volume: 148 Å³/cell
magnetic moment: 0.00 μB/atom
total energy: -20.3 eV per formula unit

a b c (Å): 4.0761 5.5971 6.9820
angles (deg): 90.00 90.00 111.35
Positions (direct):
As1 0.7189 0.4378 0.7500
H1 0.0000 0.0000 0.0000
Cu1 0.1579 0.3158 0.9390
Ca1 0.4354 0.8708 0.7500
H2 0.0000 0.0000 0.5000
Ca2 0.5646 0.1292 0.2500
As2 0.2811 0.5622 0.2500
Cu2 0.8421 0.6842 0.4390
Cu3 0.1579 0.3158 0.5610
Cu4 0.8421 0.6842 0.0610


[12]
This record from the Alexandria database describes a relaxed Cr4PC crystal. The functional is PBE.

Properties
space-group type: R-3m
calculated volume: 66 Å³/cell
magnetic moment: 0.00 μB/atom
total energy: -53.2 eV per formula unit
calculated formation energy: -0.018 eV per atom
relative energy among the computed polymorphs: 103.1 meV per atom

a b c (Å): 3.9129 3.9129 5.4461
angles (deg): 68.90 68.90 59.99
Positions (direct):
C1 0.0000 0.0000 0.0000
P1 0.5000 0.5000 0.5000
Cr1 0.1250 0.1250 0.6247
Cr2 0.3383 0.3383 0.9850
Cr3 0.8750 0.8750 0.3753
Cr4 0.6617 0.6617 0.0150